Record 1
PBE K2NpTiO6, relaxed; E_tot = -7.90 eV per atom
1.0
-0.0357 4.0845 -4.0911
1.6226 -3.9197 -3.9276
-7.8470 -1.6581 -1.5870
K Np Ti O
4 2 2 12
Cartesian
-0.7628 -1.3117 -5.3877
-5.4795 -2.2238 -2.1724
-4.6863 -2.1408 -6.1812
-1.5560 -1.3947 -1.3789
-3.5358 0.2335 -3.8208
1.2170 -2.9400 -2.9458
-2.7065 -3.7689 -3.7393
0.3878 1.0625 -3.0273
-1.5319 0.6568 -3.4156
-5.5396 -0.1900 -4.2261
-0.7869 -3.3633 -3.3510
-4.6262 -4.1745 -4.1275
-2.3185 -3.7281 -5.7004
-2.3368 -1.6420 -7.7899
-3.1124 -1.8105 -3.7787
-3.1306 0.2759 -5.8684
0.7762 1.1022 -4.9894
0.7936 -0.8960 -2.9879
-0.0002 1.0216 -1.0662
-0.0177 3.0201 -3.0679


Record 2
PBE K2NpTi3O12, relaxed; E_tot = -7.76 eV per atom
1.0
-3.6280 -2.4708 -6.1339
3.5711 -3.2688 -5.7839
-0.7352 -7.3344 -1.5991
K Np Ti O
2 1 3 12
Cartesian
-0.4816 -7.9483 -8.2176
-0.3106 -5.1257 -5.2993
0.0000 0.0000 0.0000
-1.8140 -1.2354 -3.0669
1.7856 -1.6344 -2.8920
-0.3676 -3.6672 -0.7996
-0.7047 -8.6444 -5.2153
-0.2870 -7.7017 -11.6579
1.4995 -10.7053 -8.8574
-2.5040 -5.6192 -8.0359
-2.9465 -10.2125 -9.0735
1.9739 -6.1155 -7.8183
-0.0875 -4.4296 -8.3016
-0.5051 -5.3723 -1.8590
-2.2916 -2.3687 -4.6595
1.7119 -7.4548 -5.4810
2.1543 -2.8615 -4.4434
-2.7661 -6.9585 -5.6986


Record 3
PBE K3NpTi2O8, relaxed; E_tot = -7.75 eV per atom
1.0
6.0464 0.0000 0.0000
-3.0232 5.2363 0.0000
0.0000 0.0000 7.6954
K Np Ti O
3 1 2 8
Cartesian
0.0000 3.4909 5.3448
3.0232 1.7454 2.3506
0.0000 0.0000 0.0000
0.0000 0.0000 3.8477
0.0000 3.4909 1.8978
3.0232 1.7454 5.7975
0.0000 3.4909 0.1863
3.0232 1.7454 7.5090
-1.5200 4.3684 2.5852
4.5432 0.8679 5.1102
0.0000 1.7357 2.5852
3.0232 3.5006 5.1102
1.5200 4.3684 2.5852
1.5032 0.8679 5.1102


Record 4
PBE KNp3Tl2O12, relaxed; E_tot = -8.02 eV per atom
1.0
-6.3110 -3.1625 -2.6264
-0.0115 -1.5327 -7.3742
0.5486 -7.2985 -1.7774
K Np Tl O
1 3 2 12
Cartesian
0.0000 0.0000 0.0000
-3.1555 -1.5812 -1.3132
-0.0057 -0.7664 -3.6871
0.2743 -3.6492 -0.8887
-3.5801 -7.4367 -7.3030
-2.1938 -4.5570 -4.4751
-1.2330 -7.8305 -4.3240
-5.2563 -7.3890 -9.5107
-2.3869 -9.1191 -9.1556
-5.5166 -5.2478 -4.8542
-5.0220 -9.8008 -7.1696
-1.5828 -4.2301 -7.8190
-4.5408 -4.1631 -7.4540
-0.5175 -4.6047 -2.2673
-3.3869 -2.8746 -2.6225
-0.2573 -6.7459 -6.9239
-0.7518 -2.1929 -4.6085
-4.1911 -7.7636 -3.9591


Record 5
PBE K3Np2TlO9, relaxed; E_tot = -7.29 eV per atom
1.0
-1.2629 -5.9136 0.5267
5.6606 1.9882 0.9207
-1.5190 0.9697 7.2450
K Np Tl O
3 2 1 9
Cartesian
2.3532 -0.0076 5.5566
0.0000 0.0000 0.0000
0.5254 -2.9480 3.1358
3.1008 -0.4849 1.9910
-0.2222 -2.4708 6.7014
-0.7595 0.4849 3.6225
-1.0814 -3.8668 5.5259
1.5986 -2.9255 5.9618
-0.4835 -1.0670 5.2765
3.3621 -1.8887 3.4159
1.2800 -0.0302 2.7306
3.9601 0.9112 3.1665
-0.6315 -2.9568 0.2634
2.8303 0.9941 0.4604
2.1988 -1.9627 0.7237


Record 6
PBE K2NpTl2O6, relaxed; E_tot = -6.23 eV per atom
1.0
6.4934 0.2074 0.0755
-3.0291 5.7473 0.0755
-1.2394 -2.1303 6.0392
K Np Tl O
2 1 2 6
Cartesian
-0.3738 2.7769 3.0951
2.5987 1.0475 3.0951
-0.6197 -1.0652 3.0196
4.9785 1.0887 0.0755
-1.5142 4.8660 0.0755
1.9849 3.4118 4.6276
-1.3819 0.4041 4.0318
0.2400 0.4126 1.5626
1.0343 -1.0016 4.0318
3.6068 3.4203 2.1584
1.1906 4.8260 2.1584


Record 7
PBE K4Np3TlO12, relaxed; E_tot = -7.63 eV per atom
1.0
-1.9375 -6.2131 4.0134
7.5941 0.2090 -0.8660
-2.3139 6.2640 3.7245
K Np Tl O
4 3 1 12
Cartesian
1.6714 0.1300 3.4360
-1.1569 3.1320 1.8623
-0.9688 -3.1066 2.0067
3.7971 0.1045 -0.4330
-2.1257 0.0255 3.8690
2.8283 -3.0020 1.5737
2.6401 3.2365 1.4293
0.0000 0.0000 0.0000
1.5773 3.2493 3.3637
-3.0257 0.0362 5.5070
-1.2257 0.0147 2.2309
1.7654 -2.9893 3.5082
4.0257 -4.2730 2.2400
1.6309 -1.7311 0.9074
-0.7116 -1.4756 4.6558
4.0543 1.7355 2.2161
-0.8057 1.6437 4.5836
3.7579 4.6068 2.0344
4.1484 -1.3838 2.2883
1.5224 1.8663 0.8241


Record 8
PBE K2NpTl3O6, relaxed; E_tot = -6.04 eV per atom
1.0
6.7168 -0.0508 0.0582
-3.4008 5.7925 0.0582
-1.0500 -1.8180 6.1667
K Np Tl O
2 1 3 6
Cartesian
-0.0554 3.8604 0.0582
3.3714 1.8813 0.0582
0.0000 0.0000 0.0000
-2.3614 3.9800 3.1416
4.6274 -0.0563 3.1416
1.1330 1.9618 3.1416
3.0443 2.4561 5.1865
2.4808 4.2954 1.4957
-0.7783 1.4675 1.0967
0.6060 3.8644 5.1865
-0.2147 -0.3718 4.7874
1.6600 0.0592 1.0967


Record 9
PBE K2NpTlO6, relaxed; E_tot = -6.64 eV per atom
1.0
-5.0782 0.9416 -3.2197
-2.8507 -4.2898 3.2419
-5.2150 1.3048 2.8542
K Np Tl O
2 1 1 6
Cartesian
-6.0150 -2.3289 3.0535
-7.1289 0.2855 -0.1771
-3.9645 -1.6741 0.0111
0.0000 0.0000 0.0000
-8.6562 -1.5982 4.3824
-5.8265 -2.4601 0.0167
-4.5515 -0.2754 1.3466
-4.4877 -0.4453 -1.5060
-7.3174 0.4167 2.8597
-8.5925 -1.7680 1.5299


Record 10
PBE K2Tm2NpO6, relaxed; E_tot = -7.75 eV per atom
1.0
5.9582 -0.0277 0.0553
-2.9690 5.1658 0.0553
-1.0666 -1.8334 6.3250
K Tm Np O
2 2 1 6
Cartesian
4.4434 0.8535 0.0553
-1.4542 4.2846 0.0553
-0.5228 2.5157 3.2178
2.4453 0.7890 3.2178
-0.5333 -0.9167 3.1625
1.4803 2.5445 4.3213
-1.5733 0.7815 4.2801
0.4422 0.7601 2.1142
1.4570 -0.9814 4.2801
3.4959 2.5232 2.1555
0.4656 4.2861 2.1555


Record 11
PBE K3TmNp2O9, relaxed; E_tot = -7.96 eV per atom
1.0
6.0428 0.0000 0.0000
-3.0214 5.2332 0.0000
0.0000 0.0000 7.4043
K Tm Np O
3 1 2 9
Cartesian
0.0000 3.4888 4.9017
0.0000 0.0000 0.0000
3.0214 1.7444 2.5026
0.0000 0.0000 3.7022
0.0000 3.4888 1.2503
3.0214 1.7444 6.1540
4.4671 0.9098 5.0021
3.0214 3.4137 5.0021
1.5757 0.9098 5.0021
1.4457 4.3235 2.4023
0.0000 1.8195 2.4023
-1.4457 4.3235 2.4023
3.0214 0.0000 0.0000
-1.5107 2.6166 0.0000
1.5107 2.6166 0.0000


Record 12
PBE K2NpUO8, relaxed; E_tot = -7.94 eV per atom
1.0
-1.8570 1.7048 -5.0509
-5.1247 0.6693 2.3218
1.6087 6.6189 1.6427
K Np U O
2 1 1 8
Cartesian
-2.2829 6.1572 -0.1310
-3.0901 2.8358 -0.9554
0.0000 0.0000 0.0000
0.8043 3.3094 0.8214
-4.2310 2.4396 1.5605
-5.3370 1.8173 -2.0958
-1.9706 3.1443 -3.4930
-1.1420 6.5534 -2.6469
-1.6447 0.5569 -0.6333
-3.4024 5.8487 2.4066
-4.5131 5.1198 -1.2660
-0.8599 3.8732 0.1796


Record 13
PBE K2NpU3O12, relaxed; E_tot = -8.95 eV per atom
1.0
-1.1310 2.0081 -7.5814
3.2203 -4.4036 -5.7469
-4.6579 -4.4745 -4.5904
K Np U O
2 1 3 12
Cartesian
-1.7264 -4.6175 -12.0434
-0.8422 -2.2526 -5.8753
0.0000 0.0000 0.0000
-0.5655 1.0040 -3.7907
1.6102 -2.2018 -2.8734
-2.3290 -2.2373 -2.2952
-3.7497 -4.9844 -8.5266
0.4702 -3.6595 -13.9056
-1.7020 -7.6522 -12.0634
-1.5211 -0.8882 -10.4165
-4.3820 -3.7032 -13.1933
1.2284 -4.9396 -9.2574
1.1811 -1.8857 -9.3921
-3.0388 -3.2105 -4.0132
-0.8666 0.7821 -5.8553
-1.0475 -5.9819 -7.5022
1.8134 -3.1669 -4.7254
-3.7969 -1.9305 -8.6614


| no. | formation energy from raw total energies (eV/atom) | calculated volume (A^3/atom) |
| --- | --- | --- |
| 1 | -2.621 | 13.66 |
| 2 | -2.297 | 15.87 |
| 3 | -2.628 | 17.40 |
| 4 | -2.237 | 18.49 |
| 5 | -2.216 | 15.88 |
| 6 | -1.723 | 21.02 |
| 7 | -2.377 | 17.21 |
| 8 | -1.709 | 20.02 |
| 9 | -1.913 | 15.94 |
| 10 | -2.857 | 17.76 |
| 11 | -2.738 | 15.61 |
| 12 | -2.432 | 18.66 |
| 13 | -2.923 | 19.69 |